{
  "formula": "MnSiO3",
  "functional": "PBE with a Hubbard U",
  "state": "relaxed",
  "energy_ev_per_atom": -7.920,
  "crystal_system": "monoclinic",
  "lattice": [[9.723, 0.000, 0.000], [0.000, 9.313, 0.000], [-1.146, 0.000, 5.302]],
  "species": ["Mn", "Mn", "Mn", "Mn", "Mn", "Mn", "Mn", "Mn", "Si", "Si", "Si", "Si", "Si", "Si", "Si", "Si", "O", "O", "O", "O", "O", "O", "O", "O", "O", "O", "O", "O", "O", "O", "O", "O", "O", "O", "O", "O", "O", "O", "O", "O"],
  "fractional_positions": [[0.249, 0.016, 0.012], [0.249, 0.484, 0.512], [0.251, 0.650, 0.012], [0.251, 0.850, 0.512], [0.749, 0.150, 0.488], [0.749, 0.350, 0.988], [0.751, 0.516, 0.488], [0.751, 0.984, 0.988], [0.044, 0.163, 0.258], [0.044, 0.337, 0.758], [0.454, 0.164, 0.713], [0.454, 0.336, 0.213], [0.546, 0.664, 0.787], [0.546, 0.836, 0.287], [0.956, 0.663, 0.242], [0.956, 0.837, 0.742], [0.101, 0.237, 0.016], [0.101, 0.263, 0.516], [0.122, 0.009, 0.283], [0.122, 0.491, 0.783], [0.128, 0.660, 0.301], [0.128, 0.840, 0.801], [0.372, 0.015, 0.742], [0.372, 0.485, 0.242], [0.374, 0.657, 0.723], [0.374, 0.843, 0.223], [0.402, 0.224, 0.418], [0.402, 0.276, 0.918], [0.598, 0.724, 0.082], [0.598, 0.776, 0.582], [0.626, 0.157, 0.777], [0.626, 0.343, 0.277], [0.628, 0.515, 0.758], [0.628, 0.985, 0.258], [0.872, 0.160, 0.199], [0.872, 0.340, 0.699], [0.878, 0.509, 0.217], [0.878, 0.991, 0.717], [0.899, 0.737, 0.484], [0.899, 0.763, 0.984]]
}